Entry from Alexandria via LeMat-Bulk: a relaxed CrCF2 crystal (PBE with a Hubbard U).

abc: 6.882 6.882 5.275
angles: 49.28 49.28 90.00
Last column: magnetic moment on the atom in μB.
Element x y z (fractional)
F 0.999 0.625 0.250  0.01
Cr 0.000 0.000 0.000  -2.83
F 0.375 0.249 0.750  0.01
C 0.500 0.500 0.000  0.57
Cr 0.750 0.250 0.500  -2.83
C 0.250 0.750 0.500  0.56
F 0.751 0.125 0.250  0.01
F 0.875 0.001 0.750  0.01

## Properties
space-group type = I-42d, No. 122
relative energy among the computed polymorphs = 0.000 eV per atom
DFT total energy = -5.38 eV/atom
calculated volume = 96.41 Å³ per cell
crystal system = tetragonal